# Ho3ThIr8 PBE-GGA relaxed
# E_tot   -101.66 eV per cell
# ρ   17115 kg/m3
# Energy relative to the elements   -802.0 meV/atom
data_Ho3ThIr8
_chemical_formula_sum 'Ho3 Th1 Ir8'
_cell_length_a 5.3880
_cell_length_b 5.3880
_cell_length_c 8.7393
_cell_angle_alpha 90.00
_cell_angle_beta 90.00
_cell_angle_gamma 120.00
_symmetry_space_group_name_H-M 'P 3 m 1'
_symmetry_Int_Tables_number 156
_symmetry_space_group_name_Hall 'P 3 -2"'
loop_
_atom_site_label
_atom_site_type_symbol
_atom_site_fract_x
_atom_site_fract_y
_atom_site_fract_z
Ho1 Ho 0.0000 0.0000 0.0000
Ho2 Ho 0.0000 0.0000 0.3608
Ho3 Ho 0.3333 0.6667 0.8743
Th1 Th 0.3333 0.6667 0.5060
Ir1 Ir 0.0064 0.5032 0.1836
Ir2 Ir 0.3262 0.1631 0.6873
Ir3 Ir 0.6667 0.3333 0.4341
Ir4 Ir 0.6667 0.3333 0.9357

# Sr3Mg2Cd9 PBE-GGA relaxed
# E_tot   -40.82 eV per cell
# ρ   5851 kg/m3
# Energy relative to the elements   -281.5 meV/atom
data_Sr3Mg2Cd9
_chemical_formula_sum 'Sr6 Mg4 Cd18'
_cell_length_a 4.9492
_cell_length_b 10.1739
_cell_length_c 14.9152
_cell_angle_alpha 90.00
_cell_angle_beta 90.00
_cell_angle_gamma 90.00
_symmetry_space_group_name_H-M 'I m m m'
_symmetry_Int_Tables_number 71
_symmetry_space_group_name_Hall '-I 2 2'
loop_
_atom_site_label
_atom_site_type_symbol
_atom_site_fract_x
_atom_site_fract_y
_atom_site_fract_z
Sr1 Sr 0.0000 0.0000 0.0000
Sr2 Sr 0.0000 0.0000 0.2916
Mg1 Mg 0.0000 0.1821 0.5000
Cd1 Cd 0.0000 0.2882 0.1340
Cd2 Cd 0.0000 0.3568 0.3385
Cd3 Cd 0.0000 0.5000 0.0000

# Be6ZnCo PBE-GGA relaxed
# E_tot   -31.31 eV per cell
# ρ   4139 kg/m3
# Energy relative to the elements   -72.2 meV/atom
data_Be6ZnCo
_chemical_formula_sum 'Be6 Zn1 Co1'
_cell_length_a 3.7092
_cell_length_b 4.6856
_cell_length_c 4.1188
_cell_angle_alpha 90.00
_cell_angle_beta 90.00
_cell_angle_gamma 90.00
_symmetry_space_group_name_H-M 'P m m 2'
_symmetry_Int_Tables_number 25
_symmetry_space_group_name_Hall 'P 2 -2'
loop_
_atom_site_label
_atom_site_type_symbol
_atom_site_fract_x
_atom_site_fract_y
_atom_site_fract_z
Be1 Be 0.0000 0.0000 0.0000
Be2 Be 0.0000 0.2360 0.4929
Be3 Be 0.5000 0.2262 0.8113
Be4 Be 0.5000 0.5000 0.3598
Zn1 Zn 0.0000 0.5000 0.0037
Co1 Co 0.5000 0.0000 0.3139

# NbVFe2 PBE-GGA relaxed
# E_tot   -105.76 eV per cell
# ρ   7724 kg/m3
# Relative energy among the computed polymorphs   315 meV/atom
# Energy relative to the elements   215.2 meV/atom
data_NbVFe2
_chemical_formula_sum 'Nb3 V3 Fe6'
_cell_length_a 2.7968
_cell_length_b 2.7968
_cell_length_c 24.3285
_cell_angle_alpha 90.00
_cell_angle_beta 90.00
_cell_angle_gamma 120.00
_symmetry_space_group_name_H-M 'R -3 m'
_symmetry_Int_Tables_number 166
_symmetry_space_group_name_Hall '-R 3 2"'
loop_
_atom_site_label
_atom_site_type_symbol
_atom_site_fract_x
_atom_site_fract_y
_atom_site_fract_z
Nb1 Nb 0.0000 0.0000 0.0000
V1 V 0.0000 0.0000 0.5000
Fe1 Fe 0.0000 0.0000 0.2420

# InCoHg2 PBE-GGA relaxed
# E_tot   -8.82 eV per cell
# ρ   12158 kg/m3
# Energy relative to the elements   408.2 meV/atom
data_InCoHg2
_chemical_formula_sum 'In1 Co1 Hg2'
_cell_length_a 4.2458
_cell_length_b 4.2458
_cell_length_c 4.3558
_cell_angle_alpha 90.00
_cell_angle_beta 90.00
_cell_angle_gamma 90.00
_symmetry_space_group_name_H-M 'P 4/m m m'
_symmetry_Int_Tables_number 123
_symmetry_space_group_name_Hall '-P 4 2'
loop_
_atom_site_label
_atom_site_type_symbol
_atom_site_fract_x
_atom_site_fract_y
_atom_site_fract_z
In1 In 0.0000 0.0000 0.0000
Co1 Co 0.5000 0.5000 0.0000
Hg1 Hg 0.0000 0.5000 0.5000

# TlSi2Mo2 PBE-GGA relaxed
# E_tot   -68.81 eV per cell
# ρ   9028 kg/m3
# Formation energy (no corrections)   9 kJ/mol of atoms
# Relative energy among the computed polymorphs   0 meV/atom
data_TlSi2Mo2
_chemical_formula_sum 'Tl2 Si4 Mo4'
_cell_length_a 7.2245
_cell_length_b 7.2245
_cell_length_c 3.1887
_cell_angle_alpha 90.00
_cell_angle_beta 90.00
_cell_angle_gamma 90.00
_symmetry_space_group_name_H-M 'P 4/m b m'
_symmetry_Int_Tables_number 127
_symmetry_space_group_name_Hall '-P 4 2ab'
loop_
_atom_site_label
_atom_site_type_symbol
_atom_site_fract_x
_atom_site_fract_y
_atom_site_fract_z
Tl1 Tl 0.0000 0.0000 0.0000
Si1 Si 0.1399 0.3601 0.5000
Mo1 Mo 0.1454 0.6454 0.0000

# NdZr2Te4 PBE-GGA relaxed
# E_tot   -163.78 eV per cell
# ρ   6737 kg/m3
# Formation energy (no corrections)   -90 kJ/mol of atoms
data_NdZr2Te4
_chemical_formula_sum 'Nd4 Zr8 Te16'
_cell_length_a 4.0801
_cell_length_b 13.5572
_cell_length_c 14.9204
_cell_angle_alpha 90.00
_cell_angle_beta 90.00
_cell_angle_gamma 90.00
_symmetry_space_group_name_H-M 'C m c m'
_symmetry_Int_Tables_number 63
_symmetry_space_group_name_Hall '-C 2c 2'
loop_
_atom_site_label
_atom_site_type_symbol
_atom_site_fract_x
_atom_site_fract_y
_atom_site_fract_z
Nd1 Nd 0.0000 0.1004 0.2500
Zr1 Zr 0.0000 0.3472 0.0594
Te1 Te 0.0000 0.0000 0.0000
Te2 Te 0.0000 0.2871 0.6245
Te3 Te 0.0000 0.4273 0.2500

# Ac4ScIn5 PBE-GGA relaxed
# E_tot   -40.51 eV per cell
# ρ   7921 kg/m3
# Energy relative to the elements   -405.1 meV/atom
data_Ac4ScIn5
_chemical_formula_sum 'Ac4 Sc1 In5'
_cell_length_a 3.8954
_cell_length_b 3.8954
_cell_length_c 21.0962
_cell_angle_alpha 90.00
_cell_angle_beta 90.00
_cell_angle_gamma 90.00
_symmetry_space_group_name_H-M 'P 4/m m m'
_symmetry_Int_Tables_number 123
_symmetry_space_group_name_Hall '-P 4 2'
loop_
_atom_site_label
_atom_site_type_symbol
_atom_site_fract_x
_atom_site_fract_y
_atom_site_fract_z
Ac1 Ac 0.0000 0.0000 0.1066
Ac2 Ac 0.0000 0.0000 0.3176
Sc1 Sc 0.0000 0.0000 0.5000
In1 In 0.5000 0.5000 0.0000
In2 In 0.5000 0.5000 0.2129
In3 In 0.5000 0.5000 0.4254

# NaCa2S PBE-GGA relaxed
# E_tot   -38.92 eV per cell
# ρ   1640 kg/m3
# Formation energy (no corrections)   -85 kJ/mol of atoms
data_NaCa2S
_chemical_formula_sum 'Na3 Ca6 S3'
_cell_length_a 3.8912
_cell_length_b 3.8912
_cell_length_c 31.3305
_cell_angle_alpha 90.00
_cell_angle_beta 90.00
_cell_angle_gamma 120.00
_symmetry_space_group_name_H-M 'R -3 m'
_symmetry_Int_Tables_number 166
_symmetry_space_group_name_Hall '-R 3 2"'
loop_
_atom_site_label
_atom_site_type_symbol
_atom_site_fract_x
_atom_site_fract_y
_atom_site_fract_z
Na1 Na 0.0000 0.0000 0.0000
Ca1 Ca 0.0000 0.0000 0.1131
S1 S 0.0000 0.0000 0.5000